Entry from Alexandria via LeMat-Bulk: a relaxed structure of Sr2CaSn4Pt3 (PBE-GGA).

a b c (Å): 4.5851 4.5851 12.1324
angles (deg): 90.00 90.00 90.00
Closest atoms and distances in Å follow each position.
Space group P-4m2 (No. 115)
Asymmetric unit:
1 Sr 0.0000 0.5000 0.2341 [2 per cell]  8 Sn 3.49-3.65, 4 Pt 3.52
2 Ca 0.0000 0.0000 0.5000 [1 per cell]  4 Sn 3.00, 4 Pt 3.24
3 Sn 0.0000 0.0000 0.0000 [1 per cell]  4 Pt 2.72
4 Sn 0.0000 0.5000 0.6595 [2 per cell]  1 Pt 2.66
5 Sn 0.5000 0.5000 0.0000 [1 per cell]  4 Pt 2.72
6 Pt 0.0000 0.5000 0.8787 [2 per cell]  5 Sn 2.66-2.72
7 Pt 0.5000 0.5000 0.5000 [1 per cell]  4 Sn 3.00, 4 Ca 3.24

Results
E, eV per atom: -4.66
Energy of formation, eV/atom: -0.708

Entry from Alexandria via LeMat-Bulk: a relaxed structure of Li3Sc (PBE-GGA).

a b c (Å): 5.4027 5.4027 5.4027
angles (deg): 90.00 90.00 90.00
Closest atoms and distances in Å follow each position.
Space group Pm-3n (No. 223)
Asymmetric unit:
1 Li 0.0000 0.2500 0.5000 [6 per cell]  2 Li 2.70, 4 Sc 3.02
2 Sc 0.0000 0.0000 0.0000 [2 per cell]  12 Li 3.02

Results
E, eV per atom: -2.81
Excess energy over the best structure of this formula in the dataset, eV/atom: 0.104
Energy of formation, eV/atom: 0.209

Entry from Alexandria via LeMat-Bulk: a relaxed structure of Sr2PaCdPd6 (PBE-GGA).

a b c (Å): 10.1814 10.1814 10.1814
angles (deg): 90.00 90.00 90.00
Closest atoms and distances in Å follow each position.
Space group Fm-3m (No. 225)
Asymmetric unit:
1 Sr 0.2500 0.2500 0.2500 [8 per cell]  12 Pd 3.60
2 Pa 0.0000 0.0000 0.0000 [4 per cell]  6 Pd 2.50
3 Cd 0.0000 0.0000 0.5000 [4 per cell]  6 Pd 2.59
4 Pd 0.0000 0.0000 0.2453 [24 per cell]  1 Pa 2.50, 1 Cd 2.59

Results
E, eV per atom: -4.67
Energy of formation, eV/atom: -0.179

Entry from Alexandria via LeMat-Bulk: a relaxed structure of MgPd (PBE-GGA).

a b c (Å): 7.3531 7.3531 4.8760
angles (deg): 90.00 90.00 120.00
Closest atoms and distances in Å follow each position.
Space group P6_3/m (No. 176)
Asymmetric unit:
1 Mg 0.0902 0.3169 0.2500 [6 per cell]  5 Pd 2.61-2.83
2 Pd 0.1082 0.4628 0.7500 [6 per cell]  5 Mg 2.61-2.83, 2 Pd 2.74

Results
E, eV per atom: -3.79
Energy of formation, eV/atom: -0.395

Entry from Alexandria via LeMat-Bulk: a relaxed structure of Tb2Dy5Ho2 (PBE-GGA).

a b c (Å): 15.0096 4.9922 7.9018
angles (deg): 90.00 108.44 90.00
Closest atoms and distances in Å follow each position.
Space group C2/m (No. 12)
Asymmetric unit:
1 Tb 0.1109 0.0000 0.1666 [4 per cell]  4 Ho 3.53, 1 Tb 3.53, 7 Dy 3.53-3.54
2 Dy 0.0000 0.0000 0.5000 [2 per cell]  4 Ho 3.53, 6 Dy 3.53, 2 Tb 3.53
3 Dy 0.1666 0.5000 0.5002 [4 per cell]  7 Dy 3.53-3.54, 2 Ho 3.53-3.54, 3 Tb 3.53-3.54
4 Dy 0.2220 0.0000 0.8333 [4 per cell]  6 Dy 3.53-3.54, 3 Ho 3.53-3.54, 3 Tb 3.53-3.54
5 Ho 0.0556 0.5000 0.8334 [4 per cell]  7 Dy 3.53-3.54, 4 Tb 3.53, 1 Ho 3.54

Results
E, eV per atom: -4.59
Excess energy over the best structure of this formula in the dataset, eV/atom: 0.000
Energy of formation, eV/atom: 0.017

Entry from Alexandria via LeMat-Bulk: a relaxed structure of NiAs2W (PBE-GGA).

a b c (Å): 3.2162 3.1950 5.9308
angles (deg): 90.00 98.83 90.00
Closest atoms and distances in Å follow each position.
Space group P2/m (No. 10)
Asymmetric unit:
1 Ni 0.0000 0.0000 0.0000 [1 per cell]  4 As 2.45
2 As 0.4227 0.5000 0.2514 [2 per cell]  2 Ni 2.45, 4 W 2.68-2.71
3 W 0.0000 0.0000 0.5000 [1 per cell]  8 As 2.68-2.71, 2 Ni 2.97

Results
E, eV per atom: -6.88
Excess energy over the best structure of this formula in the dataset, eV/atom: 0.090
Energy of formation, eV/atom: 0.128

Entry from Alexandria via LeMat-Bulk: a relaxed structure of SrAl2GaTc (PBE-GGA).

a b c (Å): 4.8288 4.8288 4.8947
angles (deg): 90.00 90.00 90.00
Closest atoms and distances in Å follow each position.
Space group P4/mmm (No. 123)
Asymmetric unit:
1 Sr 0.0000 0.0000 0.0000 [1 per cell]  4 Ga 3.41, 8 Al 3.44
2 Al 0.0000 0.5000 0.5000 [2 per cell]  2 Tc 2.41
3 Ga 0.5000 0.5000 0.0000 [1 per cell]  2 Tc 2.45
4 Tc 0.5000 0.5000 0.5000 [1 per cell]  4 Al 2.41, 2 Ga 2.45

Results
E, eV per atom: -4.83
Energy of formation, eV/atom: -0.316

Entry from Alexandria via LeMat-Bulk: a relaxed structure of LiAgRu2 (PBE-GGA).

a b c (Å): 6.1315 6.1315 6.1315
angles (deg): 90.00 90.00 90.00
Closest atoms and distances in Å follow each position.
Space group F-43m (No. 216)
Asymmetric unit:
1 Li 0.0000 0.0000 0.0000 [4 per cell]  4 Ru 2.66, 4 Ag 2.66
2 Ag 0.2500 0.2500 0.7500 [4 per cell]  4 Li 2.66, 4 Ru 2.66
3 Ru 0.0000 0.0000 0.5000 [4 per cell]  4 Ru 2.66, 4 Ag 2.66
4 Ru 0.2500 0.2500 0.2500 [4 per cell]  4 Li 2.66, 4 Ru 2.66

Results
E, eV per atom: -5.48
Excess energy over the best structure of this formula in the dataset, eV/atom: 0.174
Energy of formation, eV/atom: 0.348

Entry from Alexandria via LeMat-Bulk: a relaxed structure of HgPd4Pt2 (PBE-GGA).

a b c (Å): 5.3377 9.4737 5.4308
angles (deg): 90.00 119.30 90.00
Closest atoms and distances in Å follow each position.
Space group C2/m (No. 12)
Asymmetric unit:
1 Hg 0.0000 0.0000 0.0000 [2 per cell]  4 Pd 2.77
2 Pd 0.0000 0.2919 0.0000 [4 per cell]  4 Pt 2.74-2.75, 1 Hg 2.77, 4 Pd 2.78
3 Pd 0.2081 0.5000 0.4152 [4 per cell]  4 Pt 2.75, 1 Hg 2.77, 4 Pd 2.78-2.79
4 Pt 0.0000 0.2503 0.5000 [4 per cell]  2 Pt 2.67, 8 Pd 2.74-2.75

Results
E, eV per atom: -4.72
Excess energy over the best structure of this formula in the dataset, eV/atom: 0.089
Energy of formation, eV/atom: 0.021

Entry from Alexandria via LeMat-Bulk: a relaxed structure of La12Pm7Pr (PBE-GGA).

a b c (Å): 12.6351 12.6351 15.6147
angles (deg): 90.00 90.00 120.00
Closest atoms and distances in Å follow each position.
Space group R-3 (No. 148, hexagonal axes)
Asymmetric unit:
1 La 0.0139 0.5786 0.2187 [18 per cell]  3 La 3.24-3.50
2 La 0.0621 0.4671 0.5811 [18 per cell]  4 La 3.24-3.50, 1 Pm 3.35
3 Pm 0.0000 0.0000 0.0000 [3 per cell]  6 La 3.35
4 Pm 0.0509 0.8667 0.3035 [18 per cell]  3 Pm 3.55-3.60, 6 La 3.68-3.87, 1 Pr 3.71
5 Pr 0.0000 0.0000 0.5000 [3 per cell]  6 La 3.70, 6 Pm 3.71

Results
E, eV per atom: -4.68
Excess energy over the best structure of this formula in the dataset, eV/atom: 0.000
Energy of formation, eV/atom: 0.178

no.,total moment (μB/f.u.)
1,0.0
2,0.0
3,0.0
4,0.0
5,0.0
6,0.0
7,0.0
8,0.0
9,0.0
10,0.0